# BaLuAgSe3

Crystalline BaLuAgSe3 at its relaxed geometry (PBE, OQMD).

## Properties
E_tot	-4.808	eV/atom
theoretical density	6.645	g/cm3
space group	No. 11

Unit cell a=8.263 b=4.197 c=9.943 alpha=90.00 beta=107.74 gamma=90.00
Positions (direct):
Ba (0.237, 0.250, 0.277)
Ba (0.763, 0.750, 0.723)
Lu (0.314, 0.750, 0.844)
Lu (0.686, 0.250, 0.156)
Ag (0.088, 0.250, 0.595)
Ag (0.912, 0.750, 0.405)
Se (0.088, 0.250, 0.861)
Se (0.275, 0.750, 0.550)
Se (0.446, 0.750, 0.140)
Se (0.554, 0.250, 0.860)
Se (0.725, 0.250, 0.450)
Se (0.912, 0.750, 0.139)